(i)
Material: Dy2Br2O
Method: DFT, GGA-PBE
State: optimized geometry

abc: 4.1406 4.1406 13.6656
angles: 90.00 90.00 90.00
Fractional positions:
Br (0.5000, 0.5000, 0.6583)
Dy (0.5000, 0.5000, 0.8497)
Br (0.5000, 0.5000, 0.3417)
O (0.5000, 0.5000, 0.0000)
Dy (0.5000, 0.5000, 0.1503)

Computed properties:
Space group = No. 123

---

(ii)
Material: Dy2Br2O
Method: DFT, GGA-PBE
State: optimized geometry

abc: 3.8739 6.8047 10.8137
angles: 95.43 100.32 90.00
Each line ends with the local moment (μB).
Fractional positions:
Br (0.4097, 0.2982, 0.8194)  0.01
O (0.2096, 0.5738, 0.4192)  0.02
Dy (0.8177, 0.1174, 0.6354)  0.40
Dy (0.3155, 0.5904, 0.6309)  0.15
Dy (0.1823, 0.8826, 0.3646)  0.40
Br (0.0969, 0.1940, 0.1939)  0.01
O (0.7904, 0.4262, 0.5808)  0.02
Br (0.9031, 0.8060, 0.8061)  0.01
Dy (0.6845, 0.4096, 0.3691)  0.15
Br (0.5903, 0.7018, 0.1806)  0.01

Computed properties:
Space group = No. 12

---

Relative energies with respect to the most stable structure, expressed in eV/atom: (i) 1.050; (ii) 0.000.

---

(i)
Material: PmDyBr3
Method: DFT, GGA-PBE
State: optimized geometry

abc: 3.9525 9.4071 10.1698
angles: 72.44 78.79 77.87
Fractional positions:
Br (0.6647, 0.1782, 0.4924)
Dy (0.4277, 0.1865, 0.9581)
Br (0.0351, 0.6780, 0.2519)
Br (0.2120, 0.6933, 0.8828)
Dy (0.5723, 0.8135, 0.0419)
Pm (0.8622, 0.9896, 0.2860)
Pm (0.1378, 0.0104, 0.7140)
Br (0.3353, 0.8218, 0.5076)
Br (0.7880, 0.3067, 0.1172)
Br (0.9649, 0.3220, 0.7481)

Computed properties:
Space group = No. 12

---

(ii)
Material: PmDyBr3
Method: DFT, GGA-PBE
State: optimized geometry

abc: 6.6298 6.6085 8.8225
angles: 67.90 67.86 59.87
Each line ends with the local moment (μB).
Fractional positions:
Dy (0.6681, 0.6705, 0.9947)  0.38
Dy (0.3319, 0.3295, 0.0053)  0.38
Br (0.5894, 0.9185, 0.2391)  0.01
Br (0.0814, 0.7449, 0.7612)  0.01
Br (0.2549, 0.5884, 0.2374)  0.01
Pm (0.8318, 0.8313, 0.5056)  0.40
Br (0.9186, 0.2551, 0.2388)  0.01
Br (0.7451, 0.4116, 0.7626)  0.01
Pm (0.1682, 0.1687, 0.4944)  0.40
Br (0.4106, 0.0815, 0.7609)  0.01

Computed properties:
Space group = No. 2

---

Relative energies with respect to the most stable structure, expressed in eV/atom: (i) 0.000; (ii) 0.276.